Compound: HfZrAg2
Source: OQMD
Functional: PBE
Structure: optimized geometry

Computed properties:
The calculation puts the formation energy at 0.23 eV per atom. As for the density: 10.211 g/cm³. The electronic total energy is -5.806 eV per atom. Its energy above the most stable polymorph in this dataset is 353.5 meV per atom.

CIF file:
```
data_HfZrAg2
_cell_length_a 6.810
_cell_length_b 6.810
_cell_length_c 6.810
_cell_angle_alpha 90.00
_cell_angle_beta 90.00
_cell_angle_gamma 90.00
_symmetry_space_group_name_H-M 'F -4 3 m'
_symmetry_Int_Tables_number 216
_symmetry_space_group_name_Hall 'F -4 2 3'
loop_
_atom_site_label
_atom_site_type_symbol
_atom_site_fract_x
_atom_site_fract_y
_atom_site_fract_z
_atom_site_occupancy
Hf1 Hf 0.000 0.000 0.000 1
Zr1 Zr 0.250 0.250 0.250 1
Ag1 Ag 0.000 0.000 0.500 1
Ag2 Ag 0.250 0.250 0.750 1
```